Record 1
This record from the Alexandria database describes Ac2PmPrSe4 after structural relaxation. The functional is PBE-GGA.

Unit cell a=7.5335 b=4.3013 c=7.5863 alpha=90.00 beta=108.98 gamma=90.00
Atoms (fractional coordinates):
1 Ac 0.0000 0.0000 0.0000
2 Ac 0.5000 0.5000 0.0000
3 Pm 0.0000 0.5000 0.5000
4 Pr 0.5000 0.0000 0.5000
5 Se 0.2417 0.0000 0.7341
6 Se 0.2519 0.5000 0.2639
7 Se 0.7481 0.5000 0.7361
8 Se 0.7583 0.0000 0.2659

Formation energy without anion corrections (eV/atom): -1.846
M_tot (Bohr magnetons per cell): 0.00

***

Record 2
This record from the Alexandria database describes AcPmPrSe3 after structural relaxation. The functional is PBE-GGA.

Unit cell a=8.3205 b=4.2542 c=10.7493 alpha=90.00 beta=103.36 gamma=90.00
Atoms (fractional coordinates):
1 Ac 0.1840 0.2500 0.2076
2 Ac 0.8160 0.7500 0.7924
3 Pm 0.3410 0.7500 0.9048
4 Pm 0.6590 0.2500 0.0952
5 Pr 0.1741 0.2500 0.6219
6 Pr 0.8259 0.7500 0.3781
7 Se 0.0955 0.2500 0.8918
8 Se 0.2004 0.7500 0.4322
9 Se 0.4694 0.7500 0.1904
10 Se 0.5306 0.2500 0.8096
11 Se 0.7996 0.2500 0.5678
12 Se 0.9045 0.7500 0.1082

Formation energy without anion corrections (eV/atom): -1.681
M_tot (Bohr magnetons per cell): 1.57

***

Record 3
This record from the Alexandria database describes AcPm3Pr4Se8 after structural relaxation. The functional is PBE-GGA.

Unit cell a=8.5379 b=8.5379 c=8.5379 alpha=59.99 beta=59.99 gamma=59.99
Atoms (fractional coordinates):
1 Ac 0.0000 0.0000 0.0000
2 Pm 0.0000 0.5000 0.5000
3 Pm 0.5000 0.0000 0.5000
4 Pm 0.5000 0.5000 0.0000
5 Pr 0.0000 0.0000 0.5000
6 Pr 0.0000 0.5000 0.0000
7 Pr 0.5000 0.0000 0.0000
8 Pr 0.5000 0.5000 0.5000
9 Se 0.2521 0.2521 0.2521
10 Se 0.2538 0.2538 0.7418
11 Se 0.2538 0.7418 0.2538
12 Se 0.2582 0.7462 0.7462
13 Se 0.7418 0.2538 0.2538
14 Se 0.7462 0.2582 0.7462
15 Se 0.7462 0.7462 0.2582
16 Se 0.7479 0.7479 0.7479

Formation energy without anion corrections (eV/atom): -1.831
M_tot (Bohr magnetons per cell): 0.00

***

Record 4
This record from the Alexandria database describes Ac6PmPr2Sm3 after structural relaxation. The functional is PBE-GGA.

Unit cell a=6.6848 b=6.6848 c=12.4282 alpha=95.14 beta=95.14 gamma=120.06
Atoms (fractional coordinates):
1 Ac 0.0843 0.4171 0.7520
2 Ac 0.2486 0.2486 0.2478
3 Ac 0.4171 0.0843 0.7520
4 Ac 0.5829 0.9157 0.2480
5 Ac 0.7514 0.7514 0.7522
6 Ac 0.9157 0.5829 0.2480
7 Pm 0.0000 0.0000 0.5000
8 Pr 0.3334 0.6666 0.5000
9 Pr 0.6666 0.3334 0.5000
10 Sm 0.1667 0.8333 0.0000
11 Sm 0.5000 0.5000 0.0000
12 Sm 0.8333 0.1667 0.0000

M_tot (Bohr magnetons per cell): 0.00
DFT formation energy (eV/atom): 0.03

***

Record 5
This record from the Alexandria database describes Ac2PmPrSm after structural relaxation. The functional is PBE-GGA.

Unit cell a=6.4875 b=8.9565 c=6.9047 alpha=90.00 beta=90.00 gamma=90.00
Atoms (fractional coordinates):
1 Ac 0.2500 0.2030 0.2040
2 Ac 0.2500 0.7970 0.2040
3 Ac 0.7500 0.2030 0.7960
4 Ac 0.7500 0.7970 0.7960
5 Pm 0.2500 0.0000 0.6708
6 Pm 0.7500 0.0000 0.3292
7 Pr 0.2500 0.5000 0.9160
8 Pr 0.7500 0.5000 0.0840
9 Sm 0.0000 0.5000 0.5000
10 Sm 0.5000 0.5000 0.5000

M_tot (Bohr magnetons per cell): 0.00
DFT formation energy (eV/atom): 0.25

***

Record 6
This record from the Alexandria database describes Ac2Pm2PrSm after structural relaxation. The functional is PBE-GGA.

Unit cell a=5.9783 b=10.2780 c=7.3906 alpha=90.00 beta=90.00 gamma=90.00
Atoms (fractional coordinates):
1 Ac 0.0000 0.9996 0.0000
2 Ac 0.0000 0.0004 0.5000
3 Ac 0.5000 0.1714 0.2496
4 Ac 0.5000 0.8286 0.7496
5 Pm 0.0000 0.3432 0.2507
6 Pm 0.0000 0.6568 0.7507
7 Pm 0.5000 0.1742 0.7500
8 Pm 0.5000 0.8258 0.2500
9 Pr 0.5000 0.5002 0.0006
10 Pr 0.5000 0.4998 0.5006
11 Sm 0.0000 0.3345 0.7509
12 Sm 0.0000 0.6655 0.2509

M_tot (Bohr magnetons per cell): 0.00
DFT formation energy (eV/atom): 0.07

***

Record 7
This record from the Alexandria database describes AcPm2PrSm after structural relaxation. The functional is PBE-GGA.

Unit cell a=7.4857 b=7.4857 c=7.3965 alpha=90.00 beta=90.00 gamma=111.66
Atoms (fractional coordinates):
1 Ac 0.2418 0.7582 0.7500
2 Ac 0.7582 0.2418 0.2500
3 Pm 0.3056 0.3056 0.0000
4 Pm 0.3056 0.3056 0.5000
5 Pm 0.6944 0.6944 0.0000
6 Pm 0.6944 0.6944 0.5000
7 Pr 0.0593 0.9407 0.2500
8 Pr 0.9407 0.0593 0.7500
9 Sm 0.3058 0.6942 0.2500
10 Sm 0.6942 0.3058 0.7500

M_tot (Bohr magnetons per cell): 0.00
DFT formation energy (eV/atom): 0.32

***

Record 8
This record from the Alexandria database describes Ac2PmPr2Sm after structural relaxation. The functional is PBE-GGA.

Unit cell a=7.4084 b=5.9941 c=10.3012 alpha=90.00 beta=90.00 gamma=90.00
Atoms (fractional coordinates):
1 Ac 0.0000 0.0000 0.0000
2 Ac 0.2500 0.5000 0.1730
3 Ac 0.5000 0.0000 0.0000
4 Ac 0.7500 0.5000 0.8270
5 Pm 0.0000 0.5000 0.5000
6 Pm 0.5000 0.5000 0.5000
7 Pr 0.2500 0.0000 0.3443
8 Pr 0.2500 0.5000 0.8256
9 Pr 0.7500 0.0000 0.6557
10 Pr 0.7500 0.5000 0.1744
11 Sm 0.2500 0.0000 0.6649
12 Sm 0.7500 0.0000 0.3351

M_tot (Bohr magnetons per cell): 0.00
DFT formation energy (eV/atom): 0.07

***

Record 9
This record from the Alexandria database describes Ac2PmPr5Sm after structural relaxation. The functional is PBE-GGA.

Unit cell a=10.8956 b=10.8956 c=11.0838 alpha=90.00 beta=90.00 gamma=148.53
Atoms (fractional coordinates):
1 Ac 0.1130 0.8870 0.5000
2 Ac 0.1184 0.8816 0.0887
3 Ac 0.8816 0.1184 0.5887
4 Ac 0.8870 0.1130 0.0000
5 Pm 0.2074 0.7926 0.7752
6 Pm 0.7926 0.2074 0.2752
7 Pr 0.0193 0.9807 0.7914
8 Pr 0.2823 0.7177 0.0777
9 Pr 0.2951 0.7049 0.4685
10 Pr 0.3932 0.6068 0.7911
11 Pr 0.4813 0.5187 0.5102
12 Pr 0.5187 0.4813 0.0102
13 Pr 0.6068 0.3932 0.2911
14 Pr 0.7049 0.2951 0.9685
15 Pr 0.7177 0.2823 0.5777
16 Pr 0.9807 0.0193 0.2914
17 Sm 0.4092 0.5908 0.2317
18 Sm 0.5908 0.4092 0.7317

M_tot (Bohr magnetons per cell): 0.00
DFT formation energy (eV/atom): 0.12

***

Record 10
This record from the Alexandria database describes AcPmPrSm2 after structural relaxation. The functional is PBE-GGA.

Unit cell a=6.5295 b=5.9978 c=9.9424 alpha=90.00 beta=108.88 gamma=90.00
Atoms (fractional coordinates):
1 Ac 0.0656 0.2500 0.2997
2 Ac 0.9344 0.7500 0.7003
3 Pm 0.1375 0.7500 0.0965
4 Pm 0.8625 0.2500 0.9035
5 Pr 0.3369 0.7500 0.5013
6 Pr 0.6631 0.2500 0.4987
7 Sm 0.2759 0.2500 0.7071
8 Sm 0.4633 0.2500 0.0959
9 Sm 0.5367 0.7500 0.9041
10 Sm 0.7241 0.7500 0.2929

M_tot (Bohr magnetons per cell): 0.00
DFT formation energy (eV/atom): 0.04

***

Record 11
This record from the Alexandria database describes AcPm2PrSm5 after structural relaxation. The functional is PBE-GGA.

Unit cell a=10.1381 b=10.1381 c=10.1381 alpha=126.84 beta=126.84 gamma=78.51
Atoms (fractional coordinates):
1 Ac 0.2500 0.7500 0.5000
2 Ac 0.7500 0.2500 0.5000
3 Pm 0.1137 0.6137 0.7275
4 Pm 0.3863 0.1137 0.5000
5 Pm 0.6137 0.8863 0.5000
6 Pm 0.8863 0.3863 0.2725
7 Pr 0.2500 0.2500 0.0000
8 Pr 0.7500 0.7500 0.0000
9 Sm 0.0000 0.0000 0.0000
10 Sm 0.0794 0.1595 0.5000
11 Sm 0.1595 0.6595 0.0802
12 Sm 0.3405 0.4206 0.5000
13 Sm 0.4206 0.9206 0.0802
14 Sm 0.5000 0.5000 0.0000
15 Sm 0.5794 0.0794 0.9198
16 Sm 0.6595 0.5794 0.5000
17 Sm 0.8405 0.3405 0.9198
18 Sm 0.9206 0.8405 0.5000

M_tot (Bohr magnetons per cell): 0.00
DFT formation energy (eV/atom): 0.26

***

Record 12
This record from the Alexandria database describes AcPmPr3Sm after structural relaxation. The functional is PBE-GGA.

Unit cell a=10.9278 b=10.9278 c=7.1543 alpha=91.15 beta=91.15 gamma=31.62
Atoms (fractional coordinates):
1 Ac 0.1481 0.1481 0.0384
2 Ac 0.8519 0.8519 0.9616
3 Pm 0.4442 0.4442 0.7203
4 Pm 0.5558 0.5558 0.2797
5 Pr 0.0169 0.0169 0.7475
6 Pr 0.2811 0.2811 0.7250
7 Pr 0.3405 0.3405 0.2504
8 Pr 0.6595 0.6595 0.7496
9 Pr 0.7189 0.7189 0.2750
10 Pr 0.9831 0.9831 0.2525
11 Sm 0.1421 0.1421 0.4929
12 Sm 0.8579 0.8579 0.5071

M_tot (Bohr magnetons per cell): 0.00
DFT formation energy (eV/atom): 0.18

***

Record 13
This record from the Alexandria database describes AcPmPrSm after structural relaxation. The functional is PBE-GGA.

Unit cell a=6.4877 b=6.4877 c=6.4877 alpha=131.69 beta=131.69 gamma=70.71
Atoms (fractional coordinates):
1 Ac 0.0000 0.0000 0.0000
2 Pm 0.5000 0.5000 0.0000
3 Pr 0.7500 0.2500 0.5000
4 Sm 0.2500 0.7500 0.5000

M_tot (Bohr magnetons per cell): 0.00
DFT formation energy (eV/atom): 0.04
Distance to the lowest polymorph of the same formula (meV per atom): 0

***

Record 14
This record from the Alexandria database describes AcPmPr5Sm2 after structural relaxation. The functional is PBE-GGA.

Unit cell a=10.2696 b=10.2696 c=10.2696 alpha=127.47 beta=127.47 gamma=77.49
Atoms (fractional coordinates):
1 Ac 0.2500 0.2500 0.0000
2 Ac 0.7500 0.7500 0.0000
3 Pm 0.2500 0.7500 0.5000
4 Pm 0.7500 0.2500 0.5000
5 Pr 0.0000 0.0000 0.0000
6 Pr 0.0682 0.5682 0.8996
7 Pr 0.1686 0.0682 0.5000
8 Pr 0.3314 0.8314 0.8996
9 Pr 0.4318 0.3314 0.5000
10 Pr 0.5000 0.5000 0.0000
11 Pr 0.5682 0.6686 0.5000
12 Pr 0.6686 0.1686 0.1004
13 Pr 0.8314 0.9318 0.5000
14 Pr 0.9318 0.4318 0.1004
15 Sm 0.1168 0.3832 0.5000
16 Sm 0.3832 0.8832 0.2665
17 Sm 0.6168 0.1168 0.7335
18 Sm 0.8832 0.6168 0.5000

M_tot (Bohr magnetons per cell): 0.00
DFT formation energy (eV/atom): 0.24

***

Record 15
This record from the Alexandria database describes AcPm2Pr2Sm2 after structural relaxation. The functional is PBE-GGA.

Unit cell a=6.4146 b=6.4146 c=8.3266 alpha=97.45 beta=97.45 gamma=48.36
Atoms (fractional coordinates):
1 Ac 0.0000 0.0000 0.0000
2 Pm 0.1429 0.1429 0.4325
3 Pm 0.8571 0.8571 0.5675
4 Pr 0.4260 0.4260 0.2888
5 Pr 0.5740 0.5740 0.7112
6 Sm 0.2855 0.2855 0.8519
7 Sm 0.7145 0.7145 0.1481

M_tot (Bohr magnetons per cell): 0.00
DFT formation energy (eV/atom): 0.03

***

Record 16
This record from the Alexandria database describes AcPm6Pr2Sm after structural relaxation. The functional is PBE-GGA.

Unit cell a=9.1454 b=9.1454 c=9.8943 alpha=93.22 beta=93.22 gamma=118.46
Atoms (fractional coordinates):
1 Ac 0.0230 0.9770 0.7500
2 Ac 0.9770 0.0230 0.2500
3 Pm 0.0209 0.5643 0.6866
4 Pm 0.1280 0.7450 0.0556
5 Pm 0.2550 0.8720 0.4444
6 Pm 0.2915 0.5009 0.8829
7 Pm 0.4357 0.9791 0.8134
8 Pm 0.4991 0.7085 0.6171
9 Pm 0.5009 0.2915 0.3829
10 Pm 0.5643 0.0209 0.1866
11 Pm 0.7085 0.4991 0.1171
12 Pm 0.7450 0.1280 0.5556
13 Pm 0.8720 0.2550 0.9444
14 Pm 0.9791 0.4357 0.3134
15 Pr 0.1937 0.3105 0.5445
16 Pr 0.3105 0.1937 0.0445
17 Pr 0.6895 0.8063 0.9555
18 Pr 0.8063 0.6895 0.4555
19 Sm 0.4089 0.5911 0.2500
20 Sm 0.5911 0.4089 0.7500

M_tot (Bohr magnetons per cell): 0.00
DFT formation energy (eV/atom): 0.12

***

Record 17
This record from the Alexandria database describes AcPm3Pr2Sm6 after structural relaxation. The functional is PBE-GGA.

Unit cell a=6.3838 b=6.3838 c=12.1611 alpha=95.04 beta=95.04 gamma=120.01
Atoms (fractional coordinates):
1 Ac 0.0000 0.0000 0.0000
2 Pm 0.1670 0.8330 0.5000
3 Pm 0.5000 0.5000 0.5000
4 Pm 0.8330 0.1670 0.5000
5 Pr 0.3334 0.6666 0.0000
6 Pr 0.6666 0.3334 0.0000
7 Sm 0.0855 0.4207 0.2539
8 Sm 0.2499 0.2499 0.7459
9 Sm 0.4207 0.0855 0.2539
10 Sm 0.5793 0.9145 0.7461
11 Sm 0.7501 0.7501 0.2541
12 Sm 0.9145 0.5793 0.7461

M_tot (Bohr magnetons per cell): 0.00
DFT formation energy (eV/atom): 0.02

***

Record 18
This record from the Alexandria database describes AcPmPrSm after structural relaxation. The functional is PBE-GGA.

Unit cell a=5.9510 b=5.9510 c=5.9510 alpha=60.00 beta=60.00 gamma=60.00
Atoms (fractional coordinates):
1 Ac 0.0000 0.0000 0.0000
2 Pm 0.2500 0.2500 0.2500
3 Pr 0.5000 0.5000 0.5000
4 Sm 0.7500 0.7500 0.7500

M_tot (Bohr magnetons per cell): 0.00
DFT formation energy (eV/atom): 0.13
Distance to the lowest polymorph of the same formula (meV per atom): 92

***

Record 19
This record from the Alexandria database describes AcPm2PrSm4 after structural relaxation. The functional is PBE-GGA.

Unit cell a=9.7193 b=9.7193 c=7.0703 alpha=111.14 beta=111.14 gamma=87.98
Atoms (fractional coordinates):
1 Ac 0.0000 0.5000 0.0000
2 Ac 0.5000 0.0000 0.5000
3 Pm 0.0000 0.0000 0.0000
4 Pm 0.0000 0.0000 0.5000
5 Pm 0.0000 0.5000 0.5000
6 Pm 0.5000 0.0000 0.0000
7 Pr 0.5000 0.5000 0.0000
8 Pr 0.5000 0.5000 0.5000
9 Sm 0.2391 0.2560 0.4345
10 Sm 0.2476 0.7511 0.5129
11 Sm 0.2489 0.7524 0.9871
12 Sm 0.2560 0.2391 0.9345
13 Sm 0.7440 0.7609 0.0655
14 Sm 0.7511 0.2476 0.0129
15 Sm 0.7524 0.2489 0.4871
16 Sm 0.7609 0.7440 0.5655

M_tot (Bohr magnetons per cell): 0.00
DFT formation energy (eV/atom): 0.39

***

Record 20
This record from the Alexandria database describes AcPm2PrSm6 after structural relaxation. The functional is PBE-GGA.

Unit cell a=9.1172 b=9.1172 c=9.8534 alpha=93.15 beta=93.15 gamma=118.60
Atoms (fractional coordinates):
1 Ac 0.0257 0.9743 0.7500
2 Ac 0.9743 0.0257 0.2500
3 Pm 0.1931 0.3090 0.5449
4 Pm 0.3090 0.1931 0.0449
5 Pm 0.6910 0.8069 0.9551
6 Pm 0.8069 0.6910 0.4551
7 Pr 0.4082 0.5918 0.2500
8 Pr 0.5918 0.4082 0.7500
9 Sm 0.0244 0.5628 0.6823
10 Sm 0.1258 0.7456 0.0563
11 Sm 0.2544 0.8742 0.4437
12 Sm 0.2914 0.5025 0.8817
13 Sm 0.4372 0.9756 0.8177
14 Sm 0.4975 0.7086 0.6183
15 Sm 0.5025 0.2914 0.3817
16 Sm 0.5628 0.0244 0.1823
17 Sm 0.7086 0.4975 0.1183
18 Sm 0.7456 0.1258 0.5563
19 Sm 0.8742 0.2544 0.9437
20 Sm 0.9756 0.4372 0.3177

M_tot (Bohr magnetons per cell): 0.00
DFT formation energy (eV/atom): 0.12